! AcLaPt | OQMD | PBE-GGA | relaxed; values from VASP
! VASP energy = -15.5 eV per formula unit
! Energy relative to the elements = -0.135 eV per atom
! Volume = 89.6 Å³ per cell
! Energy above the lowest structure with this stoichiometry = 0.00 kJ/mol of atoms
&SYSTEM
  ibrav = 0, nat = 3, ntyp = 3
/
ATOMIC_SPECIES
Ac 227.00 Ac.upf
La 138.91 La.upf
Pt 195.08 Pt.upf
CELL_PARAMETERS angstrom
0.0000 3.5517 3.5517
3.5517 0.0000 3.5517
3.5517 3.5517 0.0000
ATOMIC_POSITIONS angstrom
Ac 0.0000 0.0000 0.0000
La 1.7759 1.7759 1.7759
Pt 3.5517 3.5517 3.5517